A plane-wave DFT calculation with PBE-GGA was carried out for crystalline RbBe2F5 at its relaxed geometry.

As for the space group: No. 1. The theoretical density comes out at 2.725 g/cm3. The calculation puts the uncorrected formation energy at -3211 meV per atom. The calculation puts the total magnetization at 0.12 μB/f.u. The distance to the lowest polymorph of the same formula is 0.000 eV/atom.

```
RbBe2F5
1.0
4.6442 0.0000 0.0000
-2.3190 4.1293 0.0000
-0.0078 -0.3388 6.3081
Rb Be F
1 2 5
Direct
0.0000 0.0000 0.0000
0.2832 0.6704 0.4097
0.6139 0.3320 0.5899
0.3092 0.0019 0.4985
0.3554 0.6743 0.1775
0.5249 0.6099 0.5531
0.6800 0.3249 0.8223
0.9168 0.3939 0.4476
```



A plane-wave DFT calculation with PBE-GGA was carried out for crystalline Pm4Y5Tm at its relaxed geometry.

As for the space group: No. 107. The theoretical density comes out at 5.796 g/cm3. As for the formation enthalpy at 0 K: 247 meV/atom. The calculation puts the total magnetization at 0.00 μB/f.u. The distance to the lowest polymorph of the same formula is 0.060 eV/atom.

```
Pm4Y5Tm
1.0
-5.3493 5.3493 2.9874
5.3493 -5.3493 2.9874
5.3493 5.3493 -2.9874
Pm Y Tm
4 5 1
Direct
0.0000 0.3243 0.3243
0.0000 0.6757 0.6757
0.3243 0.0000 0.3243
0.6757 0.0000 0.6757
0.2978 0.2978 0.6220
0.2978 0.6758 0.0000
0.6758 0.2978 0.0000
0.6758 0.6758 0.3780
0.7578 0.7578 0.0000
0.2318 0.2318 0.0000
```



A plane-wave DFT calculation with PBE-GGA was carried out for crystalline In2AgHg at its relaxed geometry.

As for the space group: No. 35. The theoretical density comes out at 9.456 g/cm3. As for the formation enthalpy at 0 K: 45 meV/atom. The calculation puts the total magnetization at 0.00 μB/f.u.

```
In2AgHg
1.0
2.3099 -2.3277 0.0000
2.3099 2.3277 0.0000
0.0000 0.0000 8.7870
In Ag Hg
2 1 1
Direct
0.0000 0.0000 0.0000
0.5000 0.5000 0.2820
0.0000 0.0000 0.5033
0.5000 0.5000 0.7273
```



A plane-wave DFT calculation with PBE-GGA was carried out for crystalline CaSmAlHg at its relaxed geometry.

As for the space group: No. 99. The theoretical density comes out at 6.612 g/cm3. As for the formation enthalpy at 0 K: -409 meV/atom. The calculation puts the total magnetization at 0.00 μB/f.u. The distance to the lowest polymorph of the same formula is 0.000 eV/atom.

```
CaSmAlHg
1.0
3.6712 0.0000 0.0000
0.0000 3.6712 0.0000
0.0000 0.0000 7.7892
Ca Sm Al Hg
1 1 1 1
Direct
0.0000 0.0000 0.0000
0.0000 0.0000 0.4883
0.5000 0.5000 0.2496
0.5000 0.5000 0.7495
```



A plane-wave DFT calculation with PBE-GGA was carried out for crystalline PuPaH4 at its relaxed geometry.

As for the space group: No. 123. The theoretical density comes out at 11.289 g/cm3. For the total energy, the calculation gives -6.520 eV/atom. The calculation puts the total magnetization at 6.32 μB/f.u.

```
PuPaH4
1.0
3.9070 0.0000 0.0000
0.0000 3.9070 0.0000
0.0000 0.0000 4.6164
Pu Pa H
1 1 4
Direct
0.0000 0.0000 0.0000
0.5000 0.5000 0.5000
0.0000 0.5000 0.2561
0.0000 0.5000 0.7439
0.5000 0.0000 0.2561
0.5000 0.0000 0.7439
```



A plane-wave DFT calculation with PBE-GGA was carried out for crystalline Y2Se2S at its relaxed geometry.

As for the space group: No. 127. The theoretical density comes out at 5.275 g/cm3. The calculation puts the uncorrected formation energy at -1776 meV per atom. The calculation puts the total magnetization at 0.00 μB/f.u. The distance to the lowest polymorph of the same formula is 0.133 eV/atom.

```
Y2Se2S
1.0
7.6640 0.0000 0.0000
0.0000 7.6640 0.0000
0.0000 0.0000 3.9426
Y Se S
4 4 2
Direct
0.1714 0.3286 0.0000
0.3286 0.8286 0.0000
0.6714 0.1714 0.0000
0.8286 0.6714 0.0000
0.1391 0.6391 0.5000
0.3609 0.1391 0.5000
0.6391 0.8609 0.5000
0.8609 0.3609 0.5000
0.0000 0.0000 0.0000
0.5000 0.5000 0.0000
```



A plane-wave DFT calculation with PBE-GGA was carried out for crystalline Cd4AuO6 at its relaxed geometry.

As for the space group: No. 9. The theoretical density comes out at 7.400 g/cm3. The calculation puts the uncorrected formation energy at -650 meV per atom. The calculation puts the total magnetization at 1.07 μB/f.u.

```
Cd4AuO6
1.0
4.9027 -2.9073 0.0000
4.9027 2.9073 0.0000
-3.3125 0.0000 11.6913
Cd Au O
8 2 12
Direct
0.0940 0.5319 0.8800
0.1308 0.6405 0.1814
0.1972 0.8028 0.5000
0.3880 0.8543 0.7836
0.5319 0.0940 0.3800
0.6405 0.1308 0.6814
0.8028 0.1972 0.0000
0.8543 0.3880 0.2836
0.4709 0.8436 0.0790
0.8436 0.4709 0.5790
0.0264 0.1320 0.6553
0.1320 0.0264 0.1553
0.2051 0.8867 0.9306
0.2062 0.4887 0.3524
0.3555 0.5383 0.6399
0.4887 0.2062 0.8524
0.5383 0.3555 0.1399
0.6033 0.8314 0.5099
0.7108 0.8038 0.2301
0.8038 0.7108 0.7301
0.8314 0.6033 0.0099
0.8867 0.2051 0.4306
```



A plane-wave DFT calculation with PBE-GGA was carried out for crystalline PaRe2Si2Ir at its relaxed geometry.

As for the space group: No. 123. The theoretical density comes out at 12.715 g/cm3. The calculation puts the uncorrected formation energy at 239 meV per atom. The calculation puts the total magnetization at 0.00 μB/f.u.

```
PaRe2Si2Ir
1.0
4.6076 0.0000 0.0000
0.0000 4.6076 0.0000
0.0000 0.0000 5.2399
Pa Re Si Ir
1 2 2 1
Direct
0.0000 0.0000 0.0000
0.5000 0.5000 0.2333
0.5000 0.5000 0.7667
0.0000 0.5000 0.5000
0.5000 0.0000 0.5000
0.0000 0.0000 0.5000
```



The lowest theoretical density belongs to which entry? RbBe2F5



Number 7 is which compound? Cd4AuO6



What is the formula in the fourth record? CaSmAlHg